Record 1
A relaxed structure of Pa2CoSe6. Source: Alexandria via LeMat-Bulk, functional PBE.

* energy relative to the elements, uncorrected: -0.89 eV/atom
* E: -6.110 eV per atom
* space group: P4_2/mnm, No. 136

abc: 6.4890 6.4890 11.6675
angles: 90.00 90.00 90.00
Each line ends with the local moment (μB).
Element x y z (fractional)
Se1 0.8067 0.1933 0.3550  -0.01
Se2 0.7975 0.2025 0.0000  0.02
Se3 0.1933 0.8067 0.3550  -0.01
Se4 0.3067 0.3067 0.1450  -0.01
Se5 0.2025 0.7975 0.0000  0.02
Se6 0.7025 0.7025 0.5000  0.02
Co1 0.0000 0.0000 0.5000  1.14
Pa1 0.0000 0.0000 0.8252  0.06
Se7 0.1933 0.8067 0.6450  -0.01
Pa2 0.0000 0.0000 0.1748  0.06
Se8 0.8067 0.1933 0.6450  -0.01
Co2 0.5000 0.5000 0.0000  1.14
Pa3 0.5000 0.5000 0.6748  0.06
Se9 0.3067 0.3067 0.8550  -0.01
Se10 0.6933 0.6933 0.1450  -0.01
Pa4 0.5000 0.5000 0.3252  0.06
Se11 0.2975 0.2975 0.5000  0.02
Se12 0.6933 0.6933 0.8550  -0.01

---

Record 2
A relaxed structure of RbIn2Bi2. Source: Alexandria via LeMat-Bulk, functional PBE.

* formation energy from the elements: -0.74 eV/f.u.
* polymorph energy (0 for the lowest one): 31 kJ/mol of formula units
* E: -2.989 eV per atom
* space group: P-1, No. 2

abc: 9.4664 8.2648 7.5640
angles: 57.22 51.85 55.43
Element x y z (fractional)
In1 0.7565 0.9983 0.7483
In2 0.2435 0.0017 0.2517
Rb1 0.9891 0.7507 0.2499
Rb2 0.0108 0.2493 0.7501
Bi1 0.5157 0.1316 0.2087
In3 0.5032 0.5016 0.7496
Bi2 0.1436 0.6326 0.7084
Bi3 0.8564 0.3674 0.2916
Bi4 0.4843 0.8684 0.7913
In4 0.4968 0.4984 0.2504

---

Record 3
A relaxed structure of NdDy2Y5Ho. Source: Alexandria via LeMat-Bulk, functional PBE.

* formation energy from the elements: 2.49 eV/f.u.
* E: -5.376 eV per atom
* space group: I4/mcm, No. 140

abc: 8.9440 8.9440 9.7364
angles: 117.34 117.34 90.00
Element x y z (fractional)
Ho1 0.2500 0.7500 0.5000
Y1 0.3376 0.8376 0.2651
Y2 0.9275 0.4275 0.2651
Y3 0.0000 0.0000 0.0000
Y4 0.5000 0.5000 0.0000
Y5 0.1624 0.0725 0.7349
Y6 0.4275 0.3376 0.2651
Ho2 0.7500 0.2500 0.5000
Dy1 0.3873 0.8873 0.0000
Dy2 0.1127 0.3873 0.0000
Y7 0.0725 0.5725 0.7349
Y8 0.6624 0.1624 0.7349
Y9 0.5725 0.6624 0.7349
Dy3 0.6127 0.1127 0.0000
Y10 0.8376 0.9275 0.2651
Nd1 0.7500 0.7500 0.5000
Nd2 0.2500 0.2500 0.5000
Dy4 0.8873 0.6127 0.0000

---

Record 4
A relaxed structure of Zn4NO2. Source: Alexandria via LeMat-Bulk, functional PBE.

* energy relative to the elements, uncorrected: -0.53 eV/atom
* E: -3.868 eV per atom
* space group: C2/m, No. 12

abc: 3.1118 5.1485 5.9852
angles: 116.74 105.07 90.00
Element x y z (fractional)
Zn1 0.1108 0.7715 0.2215
Zn2 0.6228 0.2693 0.2457
Zn3 0.8892 0.2285 0.7785
O1 0.7121 0.7108 0.4243
Zn4 0.3772 0.7307 0.7543
N1 0.0000 0.0000 0.0000
O2 0.2879 0.2892 0.5757

---

Record 5
A relaxed structure of Ca2Zn2Ir. Source: Alexandria via LeMat-Bulk, functional PBE.

* formation energy from the elements: -1.00 eV/f.u.
* polymorph energy (0 for the lowest one): 82 kJ/mol of formula units
* E: -3.283 eV per atom
* space group: P4/mbm, No. 127

abc: 6.8202 6.8202 4.5982
angles: 90.00 90.00 90.00
Element x y z (fractional)
Ca1 0.1858 0.6858 0.5000
Ca2 0.6858 0.8142 0.5000
Zn1 0.6340 0.1340 0.0000
Ir1 0.5000 0.5000 0.0000
Zn2 0.8660 0.6340 0.0000
Ca3 0.8142 0.3142 0.5000
Zn3 0.1340 0.3660 0.0000
Zn4 0.3660 0.8660 0.0000
Ca4 0.3142 0.1858 0.5000
Ir2 0.0000 0.0000 0.0000

---

Record 6
A relaxed structure of Be2CuRu. Source: Alexandria via LeMat-Bulk, functional PBE.

* formation energy from the elements: 0.01 eV/f.u.
* polymorph energy (0 for the lowest one): 119 kJ/mol of formula units
* E: -5.203 eV per atom
* space group: R-3m, No. 166

abc: 7.6571 7.6571 7.6571
angles: 19.64 19.64 19.64
Element x y z (fractional)
Be1 0.9997 0.9997 0.9997
Ru1 0.7500 0.7500 0.7500
Be2 0.5003 0.5003 0.5003
Cu1 0.2500 0.2500 0.2500